Density functional theory data (PBE) for crystalline Sm5Er2In at its relaxed geometry.

Results
polymorph energy (0 for the lowest one)	0.000	eV per atom
energy of formation	-0.11	eV per atom
crystal system	tetragonal
magnetization	0.000	μB per cell
space-group type	I4/mmm
energy	-36.36	eV for the cell shown

a b c (Å): 4.9590 4.9590 10.7265
angles (deg): 103.37 103.37 90.00
Positions (direct):
Sm 0.5000 0.5000 0.0000
Sm 0.3767 0.8767 0.7534
Sm 0.8767 0.3767 0.7534
Sm 0.6233 0.1233 0.2466
Sm 0.1233 0.6233 0.2466
Er 0.7481 0.7481 0.4961
Er 0.2519 0.2519 0.5039
In 0.0000 0.0000 0.0000

***

Density functional theory data (PBE) for crystalline ThMg3H12Rh4 at its relaxed geometry.

Results
crystal system	trigonal
magnetization	0.000	μB per cell
space-group type	R32
energy	-85.51	eV for the cell shown

a b c (Å): 5.8546 5.8546 5.8546
angles (deg): 93.21 93.21 93.21
Positions (direct):
Th 0.0000 0.0000 0.0000
Mg 0.5740 0.4260 0.0000
Mg 0.4260 0.0000 0.5740
Mg 0.0000 0.5740 0.4260
H 0.5000 0.3094 0.6906
H 0.9385 0.5000 0.0615
H 0.0615 0.9385 0.5000
H 0.5000 0.0615 0.9385
H 0.3173 0.0298 0.2596
H 0.2596 0.3173 0.0298
H 0.0298 0.2596 0.3173
H 0.6827 0.7404 0.9702
H 0.9702 0.6827 0.7404
H 0.7404 0.9702 0.6827
H 0.6906 0.5000 0.3094
H 0.3094 0.6906 0.5000
Rh 0.8717 0.1283 0.5000
Rh 0.1283 0.5000 0.8717
Rh 0.5000 0.8717 0.1283
Rh 0.5000 0.5000 0.5000

***

Density functional theory data (PBE) for crystalline HfAl3Au at its relaxed geometry.

Results
polymorph energy (0 for the lowest one)	0.773	eV per atom
energy of formation	0.45	eV per atom
crystal system	cubic
magnetization	0.000	μB per cell
space-group type	Pm-3m
energy	-22.20	eV for the cell shown

a b c (Å): 4.7935 4.7935 4.7935
angles (deg): 90.00 90.00 90.00
Positions (direct):
Hf 0.5000 0.5000 0.5000
Au 0.0000 0.0000 0.0000
Al 0.0000 0.5000 0.0000
Al 0.0000 0.0000 0.5000
Al 0.5000 0.0000 0.0000